# La2MgRu

Crystalline La2MgRu at its relaxed geometry (PBE, the Alexandria database).

abc: 8.4541 8.4541 6.3450
angles: 90.00 90.00 90.00
With the nearest neighbours (Å) after each atom.
Space group I-42d (No. 122)
Asymmetric unit:
La1 0.1802 0.7500 0.1250  2 Ru 2.72
Mg1 0.0000 0.0000 0.5000  2 Ru 3.17, 8 La 3.52-3.53
Ru1 0.0000 0.0000 0.0000  4 La 2.72

Results
- Formation energy: 27 meV per atom
- VASP energy: -5.154 eV per atom